The following is a DFT calculation (GGA-PBEsol) of LiZnNi2 after structural relaxation.

Results
Uncorrected energy (eV per atom): -4.058
Crystal system: orthorhombic
ΔE_f (eV/atom): -0.092
Theoretical density (g cm⁻³): 7.046

a b c (Å): 2.4731 3.6399 4.9677
angles (deg): 90.00 90.00 90.00
Last column: nearest neighbours and their distance in Å.
Space group Pmm2 (No. 25)
Inequivalent atoms, fractional coordinates:
Li 0.0000 0.0000 0.0000 x1  6 Ni 2.41-2.56, 2 Li 2.47, 4 Zn 2.56
Zn 0.5000 0.5000 0.7349 x1  6 Ni 2.43-2.54, 2 Zn 2.47, 4 Li 2.56
Ni 0.0000 0.0000 0.4845 x1  2 Li 2.41-2.56, 6 Ni 2.47-2.50, 4 Zn 2.53
Ni 0.5000 0.5000 0.2459 x1  2 Zn 2.43-2.54, 6 Ni 2.47-2.50, 4 Li 2.52